[1]
Below is a relaxed NaY2S crystal, with properties calculated at the GGA-PBE level.

Geometry as CIF:
```
data_NaY2S
_cell_length_a 3.7349
_cell_length_b 3.7349
_cell_length_c 30.6387
_cell_angle_alpha 90.00
_cell_angle_beta 90.00
_cell_angle_gamma 120.00
_space_group_name_H-M_alt 'R -3 m'
_space_group_IT_number 166
_space_group_name_Hall '-R 3 2"'
loop_
_atom_site_label
_atom_site_fract_x
_atom_site_fract_y
_atom_site_fract_z
_atom_site_occupancy
Na1 0.0000 0.0000 0.0000 1
Y1 0.0000 0.0000 0.1140 1
S1 0.0000 0.0000 0.5000 1
```

Computed properties:
Density: 3.13 g/cm3
Total DFT energy (no corrections): -5.360 eV/atom
M_tot: 0.001 μB/atom

=====

[2]
Below is a relaxed NaY3S crystal, with properties calculated at the GGA-PBE level.

Geometry as CIF:
```
data_NaY3S
_cell_length_a 5.329
_cell_length_b 5.329
_cell_length_c 5.329
_cell_angle_alpha 90.00
_cell_angle_beta 90.00
_cell_angle_gamma 90.00
_space_group_name_H-M_alt 'P m -3 m'
_space_group_IT_number 221
_space_group_name_Hall '-P 4 2 3'
loop_
_atom_site_label
_atom_site_fract_x
_atom_site_fract_y
_atom_site_fract_z
_atom_site_occupancy
Na1 0.000 0.000 0.000 1
Y1 0.000 0.500 0.500 1
S1 0.500 0.500 0.500 1
```

Computed properties:
Density: 3.53 g/cm3
Total DFT energy (no corrections): -5.489 eV/atom
M_tot: 0.000 μB/atom

=====

[3]
Below is a relaxed NaYS crystal, with properties calculated at the GGA-PBE level.

Geometry as CIF:
```
data_NaYS
_cell_length_a 4.5816
_cell_length_b 4.5816
_cell_length_c 31.5202
_cell_angle_alpha 90.00
_cell_angle_beta 90.00
_cell_angle_gamma 120.00
_space_group_name_H-M_alt 'R -3 m'
_space_group_IT_number 166
_space_group_name_Hall '-R 3 2"'
loop_
_atom_site_label
_atom_site_fract_x
_atom_site_fract_y
_atom_site_fract_z
_atom_site_occupancy
Na1 0.0000 0.0000 0.1305 1
Y1 0.0000 0.0000 0.2935 1
S1 0.0000 0.0000 0.3807 1
```

Computed properties:
Density: 2.50 g/cm3
Total DFT energy (no corrections): -4.934 eV/atom
M_tot: 0.000 μB/atom

=====

[4]
Below is a relaxed NaY2S crystal, with properties calculated at the GGA-PBE level.

Geometry as CIF:
```
data_NaY2S
_cell_length_a 8.978
_cell_length_b 8.978
_cell_length_c 6.182
_cell_angle_alpha 90.00
_cell_angle_beta 90.00
_cell_angle_gamma 90.00
_space_group_name_H-M_alt 'I -4 2 d'
_space_group_IT_number 122
_space_group_name_Hall 'I -4 2bw'
loop_
_atom_site_label
_atom_site_fract_x
_atom_site_fract_y
_atom_site_fract_z
_atom_site_occupancy
Na1 0.000 0.000 0.000 1
Y1 0.137 0.250 0.625 1
S1 0.000 0.000 0.500 1
```

Computed properties:
Density: 3.10 g/cm3
Total DFT energy (no corrections): -5.087 eV/atom
M_tot: 0.259 μB/atom

=====

Question: Among the records above, which one has the highest density?
Answer: NaY3S

=====

What did the first record say?
Below is a relaxed NaY2S crystal, with properties calculated at the GGA-PBE level.

Geometry as CIF:
```
data_NaY2S
_cell_length_a 3.7349
_cell_length_b 3.7349
_cell_length_c 30.6387
_cell_angle_alpha 90.00
_cell_angle_beta 90.00
_cell_angle_gamma 120.00
_space_group_name_H-M_alt 'R -3 m'
_space_group_IT_number 166
_space_group_name_Hall '-R 3 2"'
loop_
_atom_site_label
_atom_site_fract_x
_atom_site_fract_y
_atom_site_fract_z
_atom_site_occupancy
Na1 0.0000 0.0000 0.0000 1
Y1 0.0000 0.0000 0.1140 1
S1 0.0000 0.0000 0.5000 1
```

Computed properties:
Density: 3.13 g/cm3
Total DFT energy (no corrections): -5.360 eV/atom
M_tot: 0.001 μB/atom

=====

Question: Look up the total DFT energy (no corrections) of the fourth one.
Answer: -5.087 eV/atom